Here is a geometry-optimized Li2TlSiSe4 structure from Alexandria via LeMat-Bulk. Energies are from GGA-PBE.

a b c (Å): 6.297 6.869 6.869
angles (deg): 99.13 62.72 62.72
Fractional coordinates of all 8 atoms:
Si 0.000 0.500 0.500
Li 0.500 0.250 0.750
Se 0.405 0.162 0.433
Tl 0.000 0.000 0.000
Se 0.000 0.838 0.567
Li 0.500 0.750 0.250
Se 0.595 0.567 0.838
Se 0.000 0.433 0.162

Properties
- uncorrected formation energy (eV/atom) = -0.7270
- SG = No. 121
- size of the total moment (μB/atom) = 0.00

=====

Here is a geometry-optimized LaAlMo2 structure from Alexandria via LeMat-Bulk. Energies are from GGA-PBE.

a b c (Å): 9.527 9.527 9.527
angles (deg): 18.93 18.93 18.93
Fractional coordinates of all 4 atoms:
La 0.746 0.746 0.746
Mo 0.254 0.254 0.254
Al 0.513 0.513 0.513
Mo 0.987 0.987 0.987

Properties
- energy of formation from the pure elements (eV/atom) = 0.326
- SG = No. 160
- size of the total moment (μB/atom) = 0.00

=====

Here is a geometry-optimized Sc8P3Se4 structure from Alexandria via LeMat-Bulk. Energies are from GGA-PBE.

a b c (Å): 7.561 7.574 7.574
angles (deg): 90.00 120.02 120.02
Fractional coordinates of all 15 atoms:
Sc 0.500 0.259 0.741
Sc 0.018 0.260 0.260
Sc 0.000 0.252 0.748
Sc 0.000 0.748 0.252
Sc 0.982 0.740 0.740
P 0.500 0.000 0.500
Sc 0.509 0.261 0.261
Se 0.000 0.500 0.000
Se 0.000 0.000 0.000
Sc 0.491 0.739 0.739
P 0.500 0.500 0.000
Se 0.000 0.000 0.500
P 0.500 0.500 0.500
Sc 0.500 0.741 0.259
Se 0.500 0.000 0.000

Properties
- uncorrected formation energy (eV/atom) = -1.4787
- SG = No. 12
- size of the total moment (μB/atom) = 0.00

=====

Here is a geometry-optimized ZrCr2SiB structure from Alexandria via LeMat-Bulk. Energies are from GGA-PBE.

a b c (Å): 3.933 4.507 3.933
angles (deg): 90.00 90.00 90.00
Fractional coordinates of all 5 atoms:
Cr 0.500 0.000 0.000
Zr 0.000 0.500 0.000
B 0.000 0.000 0.000
Cr 0.000 0.000 0.500
Si 0.500 0.500 0.500

Properties
- uncorrected formation energy (eV/atom) = 0.0395
- SG = No. 123
- size of the total moment (μB/atom) = 0.00

=====

Here is a geometry-optimized Cs2Pa2Te5 structure from Alexandria via LeMat-Bulk. Energies are from GGA-PBE.

a b c (Å): 6.084 8.802 9.417
angles (deg): 105.29 90.00 110.22
Fractional coordinates of all 9 atoms:
Te 0.345 0.690 0.076
Cs 0.399 0.798 0.672
Pa 0.841 0.681 0.095
Pa 0.159 0.319 0.905
Te 0.655 0.310 0.924
Cs 0.601 0.202 0.328
Te 0.855 0.711 0.403
Te 0.145 0.289 0.597
Te 0.000 0.000 0.000

Properties
- uncorrected formation energy (eV/atom) = -0.8045
- SG = No. 12
- size of the total moment (μB/atom) = 0.22

=====

Here is a geometry-optimized SiIr structure from Alexandria via LeMat-Bulk. Energies are from GGA-PBE.

a b c (Å): 4.512 5.507 3.087
angles (deg): 73.72 69.99 49.75
Fractional coordinates of all 4 atoms:
Ir 0.024 0.998 0.989
Si 0.542 0.466 0.496
Si 0.374 0.117 0.254
Ir 0.893 0.585 0.761

Properties
- uncorrected formation energy (eV/atom) = -0.5523
- SG = No. 12
- size of the total moment (μB/atom) = 0.00

=====

Here is a geometry-optimized CsUS structure from Alexandria via LeMat-Bulk. Energies are from GGA-PBE.

a b c (Å): 4.113 4.096 14.015
angles (deg): 99.22 72.59 90.73
Fractional coordinates of all 6 atoms:
S 0.562 0.296 0.150
Cs 0.919 0.881 0.296
S 0.438 0.704 0.850
U 0.211 0.288 0.000
Cs 0.081 0.119 0.704
U 0.789 0.712 0.000

Properties
- uncorrected formation energy (eV/atom) = -0.6252
- SG = No. 2
- size of the total moment (μB/atom) = 0.33

=====

Here is a geometry-optimized MnCdHg2Mo structure from Alexandria via LeMat-Bulk. Energies are from GGA-PBE.

a b c (Å): 5.151 4.407 5.151
angles (deg): 90.00 90.00 90.00
Fractional coordinates of all 5 atoms:
Hg 0.000 0.000 0.500
Cd 0.500 0.500 0.500
Mn 0.000 0.000 0.000
Mo 0.000 0.500 0.000
Hg 0.500 0.000 0.000

Properties
- energy of formation from the pure elements (eV/atom) = 0.854
- SG = No. 123
- size of the total moment (μB/atom) = 0.02

=====

Please write out number 4 again, unchanged.
Here is a geometry-optimized ZrCr2SiB structure from Alexandria via LeMat-Bulk. Energies are from GGA-PBE.

a b c (Å): 3.933 4.507 3.933
angles (deg): 90.00 90.00 90.00
Fractional coordinates of all 5 atoms:
Cr 0.500 0.000 0.000
Zr 0.000 0.500 0.000
B 0.000 0.000 0.000
Cr 0.000 0.000 0.500
Si 0.500 0.500 0.500

Properties
- uncorrected formation energy (eV/atom) = 0.0395
- SG = No. 123
- size of the total moment (μB/atom) = 0.00

=====

Please write out number 7 again, unchanged.
Here is a geometry-optimized CsUS structure from Alexandria via LeMat-Bulk. Energies are from GGA-PBE.

a b c (Å): 4.113 4.096 14.015
angles (deg): 99.22 72.59 90.73
Fractional coordinates of all 6 atoms:
S 0.562 0.296 0.150
Cs 0.919 0.881 0.296
S 0.438 0.704 0.850
U 0.211 0.288 0.000
Cs 0.081 0.119 0.704
U 0.789 0.712 0.000

Properties
- uncorrected formation energy (eV/atom) = -0.6252
- SG = No. 2
- size of the total moment (μB/atom) = 0.33

=====

What is the formula in the eighth record? MnCdHg2Mo